Entry 1:
Below is a geometry-optimized AcMgSnHg structure, with properties calculated at the PBE-GGA level.

Geometry as CIF:
```
data_AcMgSnHg
_chemical_formula_sum 'Ac1 Mg1 Sn1 Hg1'
_cell_length_a 4.8412
_cell_length_b 4.8408
_cell_length_c 6.3545
_cell_angle_alpha 89.92
_cell_angle_beta 90.00
_cell_angle_gamma 120.00
_symmetry_space_group_name_H-M 'P 1'
_symmetry_Int_Tables_number 1
_symmetry_space_group_name_Hall 'P 1'
loop_
_atom_site_label
_atom_site_type_symbol
_atom_site_fract_x
_atom_site_fract_y
_atom_site_fract_z
_atom_site_occupancy
Hg1 Hg 0.2391 0.4783 0.1644 1
Ac1 Ac 0.5720 0.1441 0.4353 1
Sn1 Sn 0.2382 0.4763 0.7190 1
Mg1 Mg 0.9050 0.8100 0.9204 1
```

energy relative to the elements: -319 meV/atom
crystal system: monoclinic

Entry 2:
Below is a geometry-optimized AcMgSnHg structure, with properties calculated at the PBE-GGA level.

Geometry as CIF:
```
data_AcMgSnHg
_chemical_formula_sum 'Ac1 Mg1 Sn1 Hg1'
_cell_length_a 5.4670
_cell_length_b 5.4670
_cell_length_c 5.4670
_cell_angle_alpha 60.00
_cell_angle_beta 60.00
_cell_angle_gamma 60.00
_symmetry_space_group_name_H-M 'P 1'
_symmetry_Int_Tables_number 1
_symmetry_space_group_name_Hall 'P 1'
loop_
_atom_site_label
_atom_site_type_symbol
_atom_site_fract_x
_atom_site_fract_y
_atom_site_fract_z
_atom_site_occupancy
Ac1 Ac 0.0000 0.0000 0.0000 1
Mg1 Mg 0.5000 0.5000 0.5000 1
Hg1 Hg 0.7500 0.7500 0.7500 1
Sn1 Sn 0.2500 0.2500 0.2500 1
```

energy relative to the elements: -407 meV/atom
crystal system: cubic

Entry 3:
Below is a geometry-optimized AcMg2SnHg4 structure, with properties calculated at the PBE-GGA level.

Geometry as CIF:
```
data_AcMg2SnHg4
_chemical_formula_sum 'Ac1 Mg2 Sn1 Hg4'
_cell_length_a 4.9384
_cell_length_b 4.9384
_cell_length_c 10.2904
_cell_angle_alpha 76.12
_cell_angle_beta 76.12
_cell_angle_gamma 60.00
_symmetry_space_group_name_H-M 'P 1'
_symmetry_Int_Tables_number 1
_symmetry_space_group_name_Hall 'P 1'
loop_
_atom_site_label
_atom_site_type_symbol
_atom_site_fract_x
_atom_site_fract_y
_atom_site_fract_z
_atom_site_occupancy
Sn1 Sn 0.5000 0.5000 0.5000 1
Mg1 Mg 0.7600 0.7600 0.7200 1
Mg2 Mg 0.2400 0.2400 0.2800 1
Hg1 Hg 0.8793 0.8793 0.3622 1
Hg2 Hg 0.6082 0.6082 0.1754 1
Hg3 Hg 0.1207 0.1207 0.6378 1
Hg4 Hg 0.3918 0.3918 0.8246 1
Ac1 Ac 0.0000 0.0000 0.0000 1
```

energy relative to the elements: -262 meV/atom
crystal system: trigonal

Entry 4:
Below is a geometry-optimized SrAcMg2Hg4 structure, with properties calculated at the PBE-GGA level.

Geometry as CIF:
```
data_SrAcMg2Hg4
_chemical_formula_sum 'Sr1 Ac1 Mg2 Hg4'
_cell_length_a 5.2443
_cell_length_b 5.2443
_cell_length_c 9.6620
_cell_angle_alpha 74.25
_cell_angle_beta 74.25
_cell_angle_gamma 60.00
_symmetry_space_group_name_H-M 'P 1'
_symmetry_Int_Tables_number 1
_symmetry_space_group_name_Hall 'P 1'
loop_
_atom_site_label
_atom_site_type_symbol
_atom_site_fract_x
_atom_site_fract_y
_atom_site_fract_z
_atom_site_occupancy
Ac1 Ac 0.0000 0.0000 0.0000 1
Mg1 Mg 0.2495 0.2495 0.2514 1
Mg2 Mg 0.7505 0.7505 0.7486 1
Hg1 Hg 0.6179 0.6179 0.1462 1
Hg2 Hg 0.1214 0.1214 0.6357 1
Hg3 Hg 0.8786 0.8786 0.3643 1
Hg4 Hg 0.3821 0.3821 0.8538 1
Sr1 Sr 0.5000 0.5000 0.5000 1
```

energy relative to the elements: -413 meV/atom
crystal system: trigonal

Entry 5:
Below is a geometry-optimized AcTb2MgHg4 structure, with properties calculated at the PBE-GGA level.

Geometry as CIF:
```
data_AcTb2MgHg4
_chemical_formula_sum 'Ac1 Tb2 Mg1 Hg4'
_cell_length_a 5.1403
_cell_length_b 5.1403
_cell_length_c 10.0085
_cell_angle_alpha 75.12
_cell_angle_beta 75.12
_cell_angle_gamma 60.00
_symmetry_space_group_name_H-M 'P 1'
_symmetry_Int_Tables_number 1
_symmetry_space_group_name_Hall 'P 1'
loop_
_atom_site_label
_atom_site_type_symbol
_atom_site_fract_x
_atom_site_fract_y
_atom_site_fract_z
_atom_site_occupancy
Tb1 Tb 0.7633 0.7633 0.7101 1
Tb2 Tb 0.2367 0.2367 0.2899 1
Hg1 Hg 0.1275 0.1275 0.6175 1
Hg2 Hg 0.6097 0.6097 0.1710 1
Hg3 Hg 0.3903 0.3903 0.8290 1
Hg4 Hg 0.8725 0.8725 0.3825 1
Ac1 Ac 0.0000 0.0000 0.0000 1
Mg1 Mg 0.5000 0.5000 0.5000 1
```

energy relative to the elements: -429 meV/atom
crystal system: trigonal

Entry 6:
Below is a geometry-optimized AcTbMgHg structure, with properties calculated at the PBE-GGA level.

Geometry as CIF:
```
data_AcTbMgHg
_chemical_formula_sum 'Ac1 Tb1 Mg1 Hg1'
_cell_length_a 5.5569
_cell_length_b 5.5569
_cell_length_c 5.5569
_cell_angle_alpha 60.00
_cell_angle_beta 60.00
_cell_angle_gamma 60.00
_symmetry_space_group_name_H-M 'P 1'
_symmetry_Int_Tables_number 1
_symmetry_space_group_name_Hall 'P 1'
loop_
_atom_site_label
_atom_site_type_symbol
_atom_site_fract_x
_atom_site_fract_y
_atom_site_fract_z
_atom_site_occupancy
Hg1 Hg 0.5000 0.5000 0.5000 1
Tb1 Tb 0.2500 0.2500 0.2500 1
Mg1 Mg 0.0000 0.0000 0.0000 1
Ac1 Ac 0.7500 0.7500 0.7500 1
```

energy relative to the elements: -213 meV/atom
crystal system: cubic

Entry 7:
Below is a geometry-optimized AcTbMgHg structure, with properties calculated at the PBE-GGA level.

Geometry as CIF:
```
data_AcTbMgHg
_chemical_formula_sum 'Ac1 Tb1 Mg1 Hg1'
_cell_length_a 3.8974
_cell_length_b 3.8974
_cell_length_c 7.9449
_cell_angle_alpha 90.00
_cell_angle_beta 90.00
_cell_angle_gamma 90.00
_symmetry_space_group_name_H-M 'P 1'
_symmetry_Int_Tables_number 1
_symmetry_space_group_name_Hall 'P 1'
loop_
_atom_site_label
_atom_site_type_symbol
_atom_site_fract_x
_atom_site_fract_y
_atom_site_fract_z
_atom_site_occupancy
Hg1 Hg 0.5000 0.5000 0.1480 1
Mg1 Mg 0.5000 0.5000 0.5754 1
Ac1 Ac 0.0000 0.0000 0.8575 1
Tb1 Tb 0.0000 0.0000 0.3472 1
```

energy relative to the elements: -265 meV/atom
crystal system: tetragonal

Entry 8:
Below is a geometry-optimized AcTbMg2Hg4 structure, with properties calculated at the PBE-GGA level.

Geometry as CIF:
```
data_AcTbMg2Hg4
_chemical_formula_sum 'Ac1 Tb1 Mg2 Hg4'
_cell_length_a 5.1660
_cell_length_b 5.1660
_cell_length_c 9.3323
_cell_angle_alpha 73.93
_cell_angle_beta 73.93
_cell_angle_gamma 60.00
_symmetry_space_group_name_H-M 'P 1'
_symmetry_Int_Tables_number 1
_symmetry_space_group_name_Hall 'P 1'
loop_
_atom_site_label
_atom_site_type_symbol
_atom_site_fract_x
_atom_site_fract_y
_atom_site_fract_z
_atom_site_occupancy
Hg1 Hg 0.6154 0.6154 0.1539 1
Hg2 Hg 0.3846 0.3846 0.8461 1
Hg3 Hg 0.1279 0.1279 0.6164 1
Hg4 Hg 0.8721 0.8721 0.3836 1
Tb1 Tb 0.5000 0.5000 0.5000 1
Ac1 Ac 0.0000 0.0000 0.0000 1
Mg1 Mg 0.2448 0.2448 0.2657 1
Mg2 Mg 0.7552 0.7552 0.7343 1
```

energy relative to the elements: -441 meV/atom
crystal system: trigonal

Entry 9:
Below is a geometry-optimized Ac2MgHgTe5 structure, with properties calculated at the PBE-GGA level.

Geometry as CIF:
```
data_Ac2MgHgTe5
_chemical_formula_sum 'Ac4 Mg2 Hg2 Te10'
_cell_length_a 4.5559
_cell_length_b 10.0279
_cell_length_c 13.5264
_cell_angle_alpha 90.00
_cell_angle_beta 90.00
_cell_angle_gamma 103.13
_symmetry_space_group_name_H-M 'P 1'
_symmetry_Int_Tables_number 1
_symmetry_space_group_name_Hall 'P 1'
loop_
_atom_site_label
_atom_site_type_symbol
_atom_site_fract_x
_atom_site_fract_y
_atom_site_fract_z
_atom_site_occupancy
Te1 Te 0.9518 0.9036 0.5757 1
Te2 Te 0.4947 0.9894 0.7692 1
Te3 Te 0.2877 0.5754 0.6584 1
Te4 Te 0.3521 0.7042 0.0007 1
Te5 Te 0.5053 0.0106 0.2692 1
Te6 Te 0.0482 0.0964 0.0757 1
Te7 Te 0.6918 0.3835 0.8542 1
Te8 Te 0.6479 0.2958 0.5007 1
Te9 Te 0.7123 0.4246 0.1584 1
Te10 Te 0.3082 0.6165 0.3542 1
Mg1 Mg 0.7972 0.5944 0.5116 1
Mg2 Mg 0.2028 0.4056 0.0116 1
Ac1 Ac 0.1357 0.2713 0.3051 1
Ac2 Ac 0.8829 0.7659 0.1905 1
Ac3 Ac 0.8643 0.7287 0.8051 1
Ac4 Ac 0.1171 0.2341 0.6905 1
Hg1 Hg 0.5476 0.0952 0.9586 1
Hg2 Hg 0.4524 0.9048 0.4586 1
```

total energy: -3.96 eV/atom
crystal system: orthorhombic

Entry 10:
Below is a geometry-optimized AcThMg2Hg4 structure, with properties calculated at the PBE-GGA level.

Geometry as CIF:
```
data_AcThMg2Hg4
_chemical_formula_sum 'Ac1 Th1 Mg2 Hg4'
_cell_length_a 5.2624
_cell_length_b 5.2624
_cell_length_c 9.2935
_cell_angle_alpha 73.55
_cell_angle_beta 73.55
_cell_angle_gamma 60.00
_symmetry_space_group_name_H-M 'P 1'
_symmetry_Int_Tables_number 1
_symmetry_space_group_name_Hall 'P 1'
loop_
_atom_site_label
_atom_site_type_symbol
_atom_site_fract_x
_atom_site_fract_y
_atom_site_fract_z
_atom_site_occupancy
Ac1 Ac 0.0000 0.0000 0.0000 1
Th1 Th 0.5000 0.5000 0.5000 1
Mg1 Mg 0.7527 0.7527 0.7418 1
Mg2 Mg 0.2473 0.2473 0.2582 1
Hg1 Hg 0.8732 0.8732 0.3803 1
Hg2 Hg 0.6201 0.6201 0.1396 1
Hg3 Hg 0.3799 0.3799 0.8604 1
Hg4 Hg 0.1268 0.1268 0.6197 1
```

energy relative to the elements: -370 meV/atom
crystal system: trigonal

Entry 11:
Below is a geometry-optimized Ac2ThMgHg6 structure, with properties calculated at the PBE-GGA level.

Geometry as CIF:
```
data_Ac2ThMgHg6
_chemical_formula_sum 'Ac2 Th1 Mg1 Hg6'
_cell_length_a 9.9064
_cell_length_b 4.9916
_cell_length_c 11.6424
_cell_angle_alpha 77.45
_cell_angle_beta 32.22
_cell_angle_gamma 89.71
_symmetry_space_group_name_H-M 'P 1'
_symmetry_Int_Tables_number 1
_symmetry_space_group_name_Hall 'P 1'
loop_
_atom_site_label
_atom_site_type_symbol
_atom_site_fract_x
_atom_site_fract_y
_atom_site_fract_z
_atom_site_occupancy
Ac1 Ac 0.2196 0.7048 0.5900 1
Ac2 Ac 0.7804 0.2952 0.4100 1
Hg1 Hg 0.3398 0.6039 0.7942 1
Hg2 Hg 0.6602 0.3961 0.2058 1
Hg3 Hg 0.9199 0.1942 0.6115 1
Hg4 Hg 0.0801 0.8058 0.3885 1
Hg5 Hg 0.3103 0.0117 0.9787 1
Hg6 Hg 0.6897 0.9883 0.0213 1
Mg1 Mg 0.0000 0.0000 0.0000 1
Th1 Th 0.5000 0.5000 0.0000 1
```

energy relative to the elements: -358 meV/atom
crystal system: triclinic

Entry 12:
Below is a geometry-optimized Ac2Mg4Tl3Hg structure, with properties calculated at the PBE-GGA level.

Geometry as CIF:
```
data_Ac2Mg4Tl3Hg
_chemical_formula_sum 'Ac2 Mg4 Tl3 Hg1'
_cell_length_a 4.8535
_cell_length_b 4.8535
_cell_length_c 11.8666
_cell_angle_alpha 90.00
_cell_angle_beta 90.00
_cell_angle_gamma 90.00
_symmetry_space_group_name_H-M 'P 1'
_symmetry_Int_Tables_number 1
_symmetry_space_group_name_Hall 'P 1'
loop_
_atom_site_label
_atom_site_type_symbol
_atom_site_fract_x
_atom_site_fract_y
_atom_site_fract_z
_atom_site_occupancy
Mg1 Mg 0.5000 0.5000 0.0000 1
Mg2 Mg 0.5000 0.0000 0.6268 1
Mg3 Mg 0.0000 0.5000 0.3732 1
Mg4 Mg 0.0000 0.0000 0.0000 1
Ac1 Ac 0.0000 0.5000 0.7452 1
Ac2 Ac 0.5000 0.0000 0.2548 1
Tl1 Tl 0.0000 0.5000 0.1391 1
Tl2 Tl 0.5000 0.0000 0.8609 1
Tl3 Tl 0.0000 0.0000 0.5000 1
Hg1 Hg 0.5000 0.5000 0.5000 1
```

energy relative to the elements: -276 meV/atom
crystal system: tetragonal